Entry 1:
Entry from the Alexandria database: a relaxed NaPdPbAu crystal (PBE-GGA).

```
NaPdPbAu
1.0
0.0000 3.4502 3.4502
3.4502 0.0000 3.4502
3.4502 3.4502 0.0000
Na Pd Pb Au
1 1 1 1
Direct
0.0000 0.0000 0.0000
0.2500 0.2500 0.2500
0.5000 0.5000 0.5000
0.7500 0.7500 0.7500
```

## Properties
- Final energy: -14.2 eV/f.u.
- E_form: -0.1781 eV per atom
- Total magnetic moment: 0.000 μB/f.u.
- Theoretical density: 10.8 g/cm³

***

Entry 2:
Entry from the Alexandria database: a relaxed Ce3Pr4ErS8 crystal (PBE-GGA).

```
Ce3Pr4ErS8
1.0
4.0473 2.3367 6.6055
-4.0473 2.3367 6.6055
0.0000 -4.6734 6.6055
Ce Pr Er S
3 4 1 8
Direct
0.0000 0.5000 0.5000
0.5000 0.0000 0.5000
0.5000 0.5000 0.0000
0.0000 0.0000 0.5000
0.0000 0.5000 0.0000
0.5000 0.0000 0.0000
0.5000 0.5000 0.5000
0.0000 0.0000 0.0000
0.2424 0.2424 0.7529
0.2424 0.7529 0.2424
0.2471 0.7576 0.7576
0.2522 0.2522 0.2522
0.7478 0.7478 0.7478
0.7529 0.2424 0.2424
0.7576 0.2471 0.7576
0.7576 0.7576 0.2471
```

## Properties
- Final energy: -106.9 eV/f.u.
- Total magnetic moment: 2.090 μB/f.u.
- Theoretical density: 6.2 g/cm³

***

Entry 3:
Entry from the Alexandria database: a relaxed Ho2Tm3Mg3 crystal (PBE-GGA).

```
Ho2Tm3Mg3
1.0
-1.8588 2.6818 11.0879
1.8588 -2.6818 11.0879
1.8588 2.6818 -11.0879
Ho Tm Mg
2 3 3
Direct
0.2348 0.2348 0.0000
0.7652 0.7652 0.0000
0.0000 0.0000 0.0000
0.3742 0.8742 0.5000
0.6258 0.1258 0.5000
0.1160 0.6160 0.5000
0.5000 0.5000 0.0000
0.8840 0.3840 0.5000
```

## Properties
- Final energy: -27.7 eV/f.u.
- E_form: -0.0449 eV per atom
- Total magnetic moment: 0.000 μB/f.u.
- Theoretical density: 6.8 g/cm³

***

Entry 4:
Entry from the Alexandria database: a relaxed ReSiSe2 crystal (PBE-GGA).

```
ReSiSe2
1.0
3.0045 0.0000 0.0000
0.0000 3.0045 0.0000
0.0000 0.0000 8.2309
Re Si Se
1 1 2
Direct
0.0000 0.0000 0.0000
0.0000 0.0000 0.5000
0.5000 0.5000 0.1935
0.5000 0.5000 0.8065
```

## Properties
- Final energy: -22.9 eV/f.u.
- Total magnetic moment: 0.000 μB/f.u.
- Theoretical density: 8.3 g/cm³

***

Entry 5:
Entry from the Alexandria database: a relaxed Cs3SnSe3 crystal (PBE-GGA).

```
Cs3SnSe3
1.0
10.5850 0.0000 0.0000
-5.2925 9.1668 0.0000
0.0000 0.0000 7.4880
Cs Sn Se
6 2 6
Direct
0.0779 0.7134 0.2500
0.2866 0.3645 0.2500
0.3645 0.0779 0.7500
0.6355 0.9221 0.2500
0.7134 0.6355 0.7500
0.9221 0.2866 0.7500
0.3333 0.6667 0.7500
0.6667 0.3333 0.2500
0.0975 0.6912 0.7500
0.3088 0.4063 0.7500
0.4063 0.0975 0.2500
0.5937 0.9025 0.7500
0.6912 0.5937 0.2500
0.9025 0.3088 0.2500
```

## Properties
- Final energy: -23.1 eV/f.u.
- Total magnetic moment: 0.857 μB/f.u.
- Theoretical density: 3.4 g/cm³

***

Entry 6:
Entry from the Alexandria database: a relaxed Na2SnIO6 crystal (PBE-GGA).

```
Na2SnIO6
1.0
5.7187 0.0000 0.0000
0.0000 5.7187 0.0000
0.0000 0.0000 4.0354
Na Sn I O
2 1 1 6
Direct
0.0000 0.5000 0.0000
0.5000 0.0000 0.0000
0.0000 0.0000 0.5057
0.5000 0.5000 0.5037
0.0000 0.0000 0.0061
0.2593 0.2593 0.5084
0.2593 0.7407 0.5084
0.5000 0.5000 0.0095
0.7407 0.2593 0.5084
0.7407 0.7407 0.5084
```

## Properties
- Final energy: -48.3 eV/f.u.
- Total magnetic moment: 0.000 μB/f.u.
- Theoretical density: 4.9 g/cm³

***

Entry 7:
Entry from the Alexandria database: a relaxed ZrSc2Tc crystal (PBE-GGA).

```
ZrSc2Tc
1.0
3.2540 0.0000 0.0000
0.0000 3.2540 0.0000
0.0000 0.0000 7.7490
Zr Sc Tc
1 2 1
Direct
0.0000 0.0000 0.0000
0.5000 0.5000 0.3009
0.5000 0.5000 0.6991
0.0000 0.0000 0.5000
```

## Properties
- Final energy: -31.9 eV/f.u.
- E_form: -0.0687 eV per atom
- Total magnetic moment: 0.000 μB/f.u.
- Theoretical density: 5.6 g/cm³

***

Entry 8:
Entry from the Alexandria database: a relaxed ZnFe2PPt crystal (PBE-GGA).

```
ZnFe2PPt
1.0
4.7107 0.0000 0.0000
0.0000 4.7107 0.0000
0.0000 0.0000 4.6938
Zn Fe P Pt
1 2 1 1
Direct
0.0000 0.0000 0.0000
0.0000 0.5000 0.5000
0.5000 0.0000 0.5000
0.5000 0.5000 0.0000
0.0000 0.0000 0.5000
```

## Properties
- Final energy: -24.7 eV/f.u.
- E_form: 0.9852 eV per atom
- Total magnetic moment: 7.078 μB/f.u.
- Theoretical density: 6.4 g/cm³

***

Entry 9:
Entry from the Alexandria database: a relaxed Pr2SbAs3Pd4 crystal (PBE-GGA).

```
Pr2SbAs3Pd4
1.0
4.3768 0.0000 0.0000
0.0000 4.3768 0.0000
0.0000 0.0000 10.7419
Pr Sb As Pd
2 1 3 4
Direct
0.0000 0.5000 0.2293
0.5000 0.0000 0.7707
0.0000 0.0000 0.5000
0.0000 0.5000 0.8712
0.5000 0.0000 0.1288
0.5000 0.5000 0.5000
0.0000 0.0000 0.0000
0.0000 0.5000 0.6416
0.5000 0.0000 0.3584
0.5000 0.5000 0.0000
```

## Properties
- Final energy: -56.9 eV/f.u.
- Total magnetic moment: 0.000 μB/f.u.
- Theoretical density: 8.5 g/cm³

***

Entry 10:
Entry from the Alexandria database: a relaxed Cs2CrCuH6 crystal (PBE-GGA).

```
Cs2CrCuH6
1.0
-2.6208 2.6208 5.4960
2.6208 -2.6208 5.4960
2.6208 2.6208 -5.4960
Cs Cr Cu H
2 1 1 6
Direct
0.2500 0.7500 0.5000
0.7500 0.2500 0.5000
0.0000 0.0000 0.0000
0.5000 0.5000 0.0000
0.1567 0.1567 0.0000
0.2569 0.2569 0.5138
0.2569 0.7431 0.0000
0.7431 0.2569 0.0000
0.7431 0.7431 0.4862
0.8433 0.8433 0.0000
```

## Properties
- Final energy: -35.0 eV/f.u.
- Total magnetic moment: 3.250 μB/f.u.
- Theoretical density: 4.3 g/cm³

***

Entry 11:
Entry from the Alexandria database: a relaxed LiCaMo2As crystal (PBE-GGA).

```
LiCaMo2As
1.0
4.4331 0.0000 0.0000
0.0000 4.4331 0.0000
0.0000 0.0000 4.4128
Li Ca Mo As
1 1 2 1
Direct
0.0000 0.0000 0.0000
0.5000 0.5000 0.5000
0.0000 0.5000 0.0000
0.5000 0.0000 0.0000
0.0000 0.0000 0.5000
```

## Properties
- Final energy: -25.6 eV/f.u.
- E_form: 0.9283 eV per atom
- Total magnetic moment: 0.000 μB/f.u.
- Theoretical density: 6.0 g/cm³

***

Q: Among the records above, which one has the highest total magnetic moment?
A: ZnFe2PPt

***

Please write out number 2 again, unchanged.
Entry from the Alexandria database: a relaxed Ce3Pr4ErS8 crystal (PBE-GGA).

```
Ce3Pr4ErS8
1.0
4.0473 2.3367 6.6055
-4.0473 2.3367 6.6055
0.0000 -4.6734 6.6055
Ce Pr Er S
3 4 1 8
Direct
0.0000 0.5000 0.5000
0.5000 0.0000 0.5000
0.5000 0.5000 0.0000
0.0000 0.0000 0.5000
0.0000 0.5000 0.0000
0.5000 0.0000 0.0000
0.5000 0.5000 0.5000
0.0000 0.0000 0.0000
0.2424 0.2424 0.7529
0.2424 0.7529 0.2424
0.2471 0.7576 0.7576
0.2522 0.2522 0.2522
0.7478 0.7478 0.7478
0.7529 0.2424 0.2424
0.7576 0.2471 0.7576
0.7576 0.7576 0.2471
```

## Properties
- Final energy: -106.9 eV/f.u.
- Total magnetic moment: 2.090 μB/f.u.
- Theoretical density: 6.2 g/cm³